DFT (PBE-GGA) results for a relaxed structure of OsRhPb.

Cell lengths 4.4164, 4.4164, 4.4164 Å; angles 60.00, 60.00, 60.00 degrees
Positions (direct):
Os 0.0000 0.0000 0.0000
Rh 0.7500 0.7500 0.7500
Pb 0.2500 0.2500 0.2500

Results
- D(E_F) (states/eV/cell) = 5.1
- mass density (Mg/m³) = 13.64
- symmetry = F-43m, No. 216
- energy relative to the lowest polymorph listed for this composition (eV per atom) = 0.300
- ΔH_f (0 K) (meV per atom) = 758



DFT (PBE-GGA) results for a relaxed structure of La2Pr3Ir3.

Cell lengths 7.2526, 7.2526, 14.0802 Å; angles 90.08, 90.08, 46.65 degrees
Positions (direct):
La 0.0000 0.0000 0.0000
La 0.0026 0.0026 0.6362
La 0.3434 0.3434 0.4982
La 0.6204 0.6204 0.1865
Pr 0.3438 0.3438 0.1336
Pr 0.4191 0.4191 0.8188
Pr 0.6190 0.6190 0.4515
Pr 0.7251 0.7251 0.9495
Pr 0.7263 0.7263 0.6854
Pr 0.9244 0.9244 0.3176
Ir 0.4610 0.4610 0.3146
Ir 0.5200 0.5200 0.6288
Ir 0.5207 0.5207 0.0080
Ir 0.8199 0.8199 0.1289
Ir 0.8248 0.8248 0.5068
Ir 0.8873 0.8873 0.8183

Results
- D(E_F) (states/eV/cell) = 10.7
- mass density (Mg/m³) = 7.88
- symmetry = Cm, No. 8
- ΔH_f (0 K) (meV per atom) = -507